1.
# CoAsRuBr2 | Alexandria via LeMat-Bulk | GGA-PBE | optimized geometry
data_CoAsRuBr2
_chemical_formula_sum 'Co1 As1 Ru1 Br2'
_cell_length_a 4.974
_cell_length_b 4.974
_cell_length_c 4.423
_cell_angle_alpha 90.00
_cell_angle_beta 90.00
_cell_angle_gamma 90.00
_space_group_name_H-M_alt 'P 4/m m m'
_space_group_IT_number 123
_space_group_name_Hall '-P 4 2'
loop_
_atom_site_label
_atom_site_type_symbol
_atom_site_fract_x
_atom_site_fract_y
_atom_site_fract_z
Co1 Co 0.000 0.000 0.000
As1 As 0.000 0.000 0.500
Ru1 Ru 0.500 0.500 0.500
Br1 Br 0.000 0.500 0.000
# ΔE_f (raw) ... 4.65 eV/f.u.
# Calculated volume ... 109.4 Å³/f.u.
# D(E_F) ... 4.17 states/eV per cell
# Final energy ... -3.9457 eV per atom
# Excess energy over the best structure of this formula in the dataset ... 46.8 meV per atom

***

2.
# CoAs2RuBr | Alexandria via LeMat-Bulk | GGA-PBE | optimized geometry
data_CoAs2RuBr
_chemical_formula_sum 'Co1 As2 Ru1 Br1'
_cell_length_a 4.678
_cell_length_b 4.678
_cell_length_c 5.367
_cell_angle_alpha 90.00
_cell_angle_beta 90.00
_cell_angle_gamma 90.00
_space_group_name_H-M_alt 'P 4/m m m'
_space_group_IT_number 123
_space_group_name_Hall '-P 4 2'
loop_
_atom_site_label
_atom_site_type_symbol
_atom_site_fract_x
_atom_site_fract_y
_atom_site_fract_z
Co1 Co 0.000 0.000 0.000
As1 As 0.000 0.500 0.500
Ru1 Ru 0.500 0.500 0.500
Br1 Br 0.500 0.500 0.000
# ΔE_f (raw) ... 4.32 eV/f.u.
# Calculated volume ... 117.5 Å³/f.u.
# D(E_F) ... 2.64 states/eV per cell
# Final energy ... -4.6060 eV per atom
# Excess energy over the best structure of this formula in the dataset ... 0.0 meV per atom

***

3.
# CoAsRuBr2 | Alexandria via LeMat-Bulk | GGA-PBE | optimized geometry
data_CoAsRuBr2
_chemical_formula_sum 'Co1 As1 Ru1 Br2'
_cell_length_a 5.207
_cell_length_b 5.207
_cell_length_c 4.612
_cell_angle_alpha 90.00
_cell_angle_beta 90.00
_cell_angle_gamma 90.00
_space_group_name_H-M_alt 'P 4/m m m'
_space_group_IT_number 123
_space_group_name_Hall '-P 4 2'
loop_
_atom_site_label
_atom_site_type_symbol
_atom_site_fract_x
_atom_site_fract_y
_atom_site_fract_z
Co1 Co 0.000 0.000 0.000
As1 As 0.500 0.500 0.000
Ru1 Ru 0.500 0.500 0.500
Br1 Br 0.000 0.500 0.500
# ΔE_f (raw) ... 4.41 eV/f.u.
# Calculated volume ... 125.0 Å³/f.u.
# D(E_F) ... 8.79 states/eV per cell
# Final energy ... -3.9925 eV per atom
# Excess energy over the best structure of this formula in the dataset ... 0.0 meV per atom